No. 1
First-principles (PBE-GGA) data for a geometry-optimized Mg4Pb structure, as listed in Alexandria via LeMat-Bulk.

Cell lengths 5.901, 5.901, 5.901 Å; angles 109.47, 109.47, 109.47 degrees
Atoms (fractional coordinates):
Pb  0.000  0.000  0.000
Mg  0.500  0.000  0.000
Mg  0.500  0.500  0.500
Mg  0.000  0.500  0.000
Mg  0.000  0.000  0.500

Results
* ρ: 3.20 Mg/m³
* polymorph energy (0 for the lowest one): 366 meV/atom
* symmetry: Im-3m

=====

No. 2
First-principles (PBE-GGA) data for a geometry-optimized Mg5Pb structure, as listed in Alexandria via LeMat-Bulk.

Cell lengths 3.396, 3.396, 12.640 Å; angles 90.00, 90.00, 90.00 degrees
Atoms (fractional coordinates):
Mg  0.000  0.000  0.824
Mg  0.500  0.500  0.660
Mg  0.000  0.000  0.176
Mg  0.000  0.000  0.500
Mg  0.500  0.500  0.340
Pb  0.500  0.500  0.000

Results
* ρ: 3.74 Mg/m³
* polymorph energy (0 for the lowest one): 27 meV/atom
* symmetry: P4/mmm

=====

No. 3
First-principles (PBE-GGA) data for a geometry-optimized MgPb2 structure, as listed in Alexandria via LeMat-Bulk.

Cell lengths 7.261, 7.261, 7.261 Å; angles 151.90, 151.90, 40.16 degrees
Atoms (fractional coordinates):
Pb  0.346  0.346  0.000
Pb  0.654  0.654  0.000
Mg  0.000  0.000  0.000

Results
* ρ: 8.60 Mg/m³
* polymorph energy (0 for the lowest one): 3 meV/atom
* symmetry: I4/mmm

=====

No. 4
First-principles (PBE-GGA) data for a geometry-optimized Mg2Pb3 structure, as listed in Alexandria via LeMat-Bulk.

Cell lengths 3.537, 3.537, 21.958 Å; angles 90.00, 90.00, 90.00 degrees
Atoms (fractional coordinates):
Pb  0.000  0.000  0.500
Pb  0.000  0.000  0.883
Pb  0.500  0.500  0.000
Pb  0.000  0.000  0.117
Pb  0.000  0.000  0.692
Pb  0.000  0.000  0.308
Mg  0.500  0.500  0.404
Mg  0.500  0.500  0.788
Mg  0.500  0.500  0.596
Mg  0.500  0.500  0.212

Results
* ρ: 8.10 Mg/m³
* polymorph energy (0 for the lowest one): 0 meV/atom
* symmetry: P4/mmm

=====

No. 5
First-principles (PBE-GGA) data for a geometry-optimized Mg4Pb structure, as listed in Alexandria via LeMat-Bulk.

Cell lengths 5.631, 5.631, 5.631 Å; angles 99.23, 99.23, 132.78 degrees
Atoms (fractional coordinates):
Mg  0.599  0.804  0.403
Mg  0.401  0.196  0.597
Mg  0.804  0.401  0.205
Mg  0.196  0.599  0.795
Pb  0.000  0.000  0.000

Results
* ρ: 4.21 Mg/m³
* polymorph energy (0 for the lowest one): 0 meV/atom
* symmetry: I4/m

=====

No. 6
First-principles (PBE-GGA) data for a geometry-optimized MgPb structure, as listed in Alexandria via LeMat-Bulk.

Cell lengths 5.961, 7.070, 3.455 Å; angles 75.86, 73.15, 49.49 degrees
Atoms (fractional coordinates):
Pb  0.540  0.477  0.491
Pb  0.377  0.106  0.259
Mg  0.894  0.622  0.742
Mg  0.023  0.962  0.008

Results
* ρ: 7.28 Mg/m³
* symmetry: C2/m
* electronic total energy: -2.69 eV per atom